Here is a relaxed structure of CeMnCo from Alexandria via LeMat-Bulk. Energies are from PBE.

Lattice parameters (Å, degrees): 3.9907 3.9907 3.9155 90.00 90.00 120.00
Space group P-6m2 (No. 187)
One atom of each set of equivalent atoms:
1 Ce 0.0000 0.0000 0.0000 (multiplicity 1)
2 Mn 0.6667 0.3333 0.5000 (multiplicity 1)
3 Co 0.3333 0.6667 0.5000 (multiplicity 1)

Summary:
energy relative to the elements = 0.038 eV/atom
energy above the most stable polymorph in this dataset = 159 meV/atom


Here is a relaxed structure of Pm6C3Se2Cl from Alexandria via LeMat-Bulk. Energies are from PBE.

Lattice parameters (Å, degrees): 17.6651 3.8599 8.1772 90.00 108.06 90.00
Space group C2/m (No. 12)
One atom of each set of equivalent atoms:
1 Pm 0.0121 0.0000 0.2190 (multiplicity 4)
2 Pm 0.1584 0.5000 0.1057 (multiplicity 4)
3 Pm 0.1784 0.5000 0.5571 (multiplicity 4)
4 C 0.0000 0.5000 0.0000 (multiplicity 2)
5 C 0.1670 0.0000 0.3332 (multiplicity 4)
6 Se 0.1632 0.0000 0.8264 (multiplicity 4)
7 Cl 0.0000 0.5000 0.5000 (multiplicity 2)

Summary:
energy relative to the elements, uncorrected = -1.07 eV/atom


Here is a relaxed structure of TeIr from Alexandria via LeMat-Bulk. Energies are from PBE.

Lattice parameters (Å, degrees): 5.4564 5.4564 5.4564 90.00 90.00 90.00
Space group P2_13 (No. 198)
One atom of each set of equivalent atoms:
1 Te 0.0299 0.0299 0.0299 (multiplicity 4)
2 Ir 0.0326 0.5326 0.9674 (multiplicity 4)

Summary:
energy relative to the elements, uncorrected = 0.27 eV/atom


Here is a relaxed structure of Cs3AuIBr from Alexandria via LeMat-Bulk. Energies are from PBE.

Lattice parameters (Å, degrees): 10.4241 5.1030 13.4942 90.00 111.56 90.00
Space group P2_1/m (No. 11)
One atom of each set of equivalent atoms:
1 Cs 0.0337 0.2500 0.2380 (multiplicity 2)
2 Cs 0.3117 0.7500 0.0479 (multiplicity 2)
3 Cs 0.4224 0.7500 0.6272 (multiplicity 2)
4 Au 0.0567 0.2500 0.9869 (multiplicity 2)
5 I 0.2864 0.2500 0.7764 (multiplicity 2)
6 Br 0.3168 0.7500 0.3429 (multiplicity 2)

Summary:
energy relative to the elements, uncorrected = -1.17 eV/atom


Here is a relaxed structure of K3Er3NbO8 from Alexandria via LeMat-Bulk. Energies are from PBE.

Lattice parameters (Å, degrees): 6.7705 6.7705 18.8100 90.00 90.00 120.00
Space group R-3m (No. 166, hexagonal axes)
One atom of each set of equivalent atoms:
1 K 0.0000 0.5000 0.0000 (multiplicity 9)
2 Er 0.0000 0.5000 0.5000 (multiplicity 9)
3 Nb 0.0000 0.0000 0.5000 (multiplicity 3)
4 O 0.0000 0.0000 0.2277 (multiplicity 6)
5 O 0.0196 0.5098 0.2233 (multiplicity 18)

Summary:
energy relative to the elements, uncorrected = -2.73 eV/atom


Here is a relaxed structure of PRh3 from Alexandria via LeMat-Bulk. Energies are from PBE.

Lattice parameters (Å, degrees): 2.9140 2.9140 7.7249 90.00 90.00 120.00
Space group P-6m2 (No. 187)
One atom of each set of equivalent atoms:
1 P 0.0000 0.0000 0.0000 (multiplicity 1)
2 Rh 0.0000 0.0000 0.5000 (multiplicity 1)
3 Rh 0.6667 0.3333 0.2086 (multiplicity 2)

Summary:
energy relative to the elements = -0.178 eV/atom


Here is a relaxed structure of ZnCrAs2Br from Alexandria via LeMat-Bulk. Energies are from PBE.

Lattice parameters (Å, degrees): 4.7618 4.7618 5.1812 90.00 90.00 90.00
Space group P4/mmm (No. 123)
One atom of each set of equivalent atoms:
1 Zn 0.0000 0.0000 0.0000 (multiplicity 1)
2 Cr 0.5000 0.5000 0.5000 (multiplicity 1)
3 As 0.0000 0.5000 0.0000 (multiplicity 2)
4 Br 0.0000 0.0000 0.5000 (multiplicity 1)

Summary:
energy relative to the elements, uncorrected = 1.18 eV/atom
energy above the most stable polymorph in this dataset = 870 meV/atom


Here is a relaxed structure of TaAlGe2 from Alexandria via LeMat-Bulk. Energies are from PBE.

Lattice parameters (Å, degrees): 2.9373 2.9373 29.3559 90.00 90.00 120.00
Space group R-3m (No. 166, hexagonal axes)
One atom of each set of equivalent atoms:
1 Ta 0.0000 0.0000 0.0000 (multiplicity 3)
2 Al 0.0000 0.0000 0.5000 (multiplicity 3)
3 Ge 0.0000 0.0000 0.4096 (multiplicity 6)

Summary:
energy relative to the elements = 0.016 eV/atom